Below is a relaxed ZnIn crystal, with properties calculated at the GGA-PBE level.

Cell: 8.4176 8.4176 8.4176 Å, 90.00 90.00 90.00°
Last column: nearest neighbours and their distance in Å.
Space group I-43m (No. 217)
Symmetry-distinct sites (fractional):
Zn (0.1821, 0.1821, 0.1821) (multiplicity 8)  4 In 2.60-2.75
In (0.1393, 0.1393, 0.8607) (multiplicity 8)  4 Zn 2.60-2.75

Output
ΔE_f: 0.41 eV/atom
DFT total energy: -1.597 eV per atom
Total moment: 0.000 μB per formula unit

=====

Below is a relaxed ZnIn crystal, with properties calculated at the GGA-PBE level.

Cell: 3.1858 3.1858 8.3580 Å, 90.00 90.00 90.00°
Last column: nearest neighbours and their distance in Å.
Space group P4/nmm (No. 129, origin choice 2)
Symmetry-distinct sites (fractional):
Zn (0.2500, 0.2500, 0.0908) (multiplicity 2)  4 Zn 2.72
In (0.2500, 0.2500, 0.6573) (multiplicity 2)  4 Zn 3.08, 4 In 3.19

Output
ΔE_f: 0.08 eV/atom
DFT total energy: -1.921 eV per atom
Total moment: 0.000 μB per formula unit